Material: La8SeS6
Method: DFT, PBE-GGA
State: optimized geometry

Summary:
Electronic total energy, eV for the cell shown: -93.293
Total magnetic moment, μB/f.u.: 0.0
Uncorrected formation energy, eV/atom: -1.708

Cell lengths 10.6257, 10.6257, 4.2882 Å; angles 90.00, 90.00, 120.00 degrees
Space group P-3 (No. 147)
Unique sites:
La  0.0354  0.3359  0.2414 [6 per cell]
La  0.3333  0.6667  0.7524 [2 per cell]
Se  0.0000  0.0000  0.0000 [1 per cell]
S  0.1336  0.6515  0.2538 [6 per cell]